1.
TaNiPSe2: relaxed, PBE-GGA.

The formation energy from raw total energies comes out at 895 meV per atom. Its total magnetic moment is 0.00 μB/atom.

It has space group P4/mmm (No. 123), with a = 4.411 Å, b = 4.411 Å, c = 5.037 Å, α = 90.00°, β = 90.00° and γ = 90.00°. The inequivalent atoms are Ta at (0.000, 0.000, 0.000), Ni at (0.000, 0.000, 0.500), P at (0.500, 0.500, 0.000) and Se at (0.000, 0.500, 0.500).

---

2.
Th4NiPSe2: relaxed, PBE-GGA.

The formation energy from raw total energies comes out at -1269 meV per atom. Its total magnetic moment is 0.00 μB/atom.

It has space group P2/m (No. 10), with a = 7.278 Å, b = 4.073 Å, c = 7.351 Å, α = 90.00°, β = 108.68° and γ = 90.00°. The inequivalent atoms are Th at (0.232, 0.000, 0.222), Th at (0.257, 0.500, 0.770), Ni at (0.000, 0.500, 0.000), P at (0.500, 0.000, 0.000), Se at (0.000, 0.000, 0.500) and Se at (0.500, 0.500, 0.500).

---

3.
Th6NiP2Se3: relaxed, PBE-GGA.

The formation energy from raw total energies comes out at -1374 meV per atom. Its total magnetic moment is 0.00 μB/atom.

It has space group C2/m (No. 12), with a = 18.367 Å, b = 4.099 Å, c = 8.511 Å, α = 90.00°, β = 104.36° and γ = 90.00°. The inequivalent atoms are Th at (0.004, 0.000, 0.229), Th at (0.162, 0.500, 0.094), Th at (0.171, 0.500, 0.571), Ni at (0.000, 0.500, 0.000), P at (0.167, 0.000, 0.334), Se at (0.000, 0.500, 0.500) and Se at (0.167, 0.000, 0.833).

---

4.
TiNi2PSe: relaxed, PBE-GGA.

The formation energy from raw total energies comes out at 169 meV per atom. Its total magnetic moment is 0.00 μB/atom.

It has space group P4/mmm (No. 123), with a = 4.056 Å, b = 4.056 Å, c = 5.217 Å, α = 90.00°, β = 90.00° and γ = 90.00°. The inequivalent atoms are Ti at (0.000, 0.000, 0.000), Ni at (0.000, 0.500, 0.500), P at (0.500, 0.500, 0.500) and Se at (0.500, 0.500, 0.000).

---

5.
TlNiP2Se8: relaxed, PBE-GGA.

The formation energy from raw total energies comes out at -35 meV per atom. Its total magnetic moment is 0.00 μB/atom.

It has space group P-3 (No. 147), with a = 5.8378 Å, b = 5.8378 Å, c = 10.8047 Å, α = 90.00°, β = 90.00° and γ = 120.00°. The inequivalent atoms are Tl at (0.0000, 0.0000, 0.0000), Ni at (0.0000, 0.0000, 0.5000), P at (0.3333, 0.6667, 0.7112), Se at (0.0462, 0.7037, 0.3573) and Se at (0.3333, 0.6667, 0.9114).

---

6.
Tm8NiP3Se4: relaxed, PBE-GGA.

The formation energy from raw total energies comes out at -1536 meV per atom. Its total magnetic moment is 0.00 μB/atom.

It has space group R-3m (No. 166, hexagonal axes), with a = 7.9220 Å, b = 7.9220 Å, c = 19.8104 Å, α = 90.00°, β = 90.00° and γ = 120.00°. The inequivalent atoms are Tm at (0.0000, 0.0000, 0.2425), Tm at (0.0062, 0.5031, 0.2425), Ni at (0.0000, 0.0000, 0.5000), P at (0.0000, 0.5000, 0.5000), Se at (0.0000, 0.0000, 0.0000) and Se at (0.0000, 0.5000, 0.0000).

---

7.
Tm4NiPSe2: relaxed, PBE-GGA.

The formation energy from raw total energies comes out at -1340 meV per atom. Its total magnetic moment is 0.00 μB/atom.

It has space group P2/m (No. 10), with a = 6.883 Å, b = 3.915 Å, c = 7.024 Å, α = 90.00°, β = 108.73° and γ = 90.00°. The inequivalent atoms are Tm at (0.235, 0.000, 0.224), Tm at (0.254, 0.500, 0.770), Ni at (0.000, 0.500, 0.000), P at (0.500, 0.000, 0.000), Se at (0.000, 0.000, 0.500) and Se at (0.500, 0.500, 0.500).

---

8.
NiPWSe2: relaxed, PBE-GGA.

The formation energy from raw total energies comes out at 1130 meV per atom. Its total magnetic moment is 0.61 μB/atom.

It has space group P4/mmm (No. 123), with a = 4.886 Å, b = 4.886 Å, c = 4.083 Å, α = 90.00°, β = 90.00° and γ = 90.00°. The inequivalent atoms are Ni at (0.000, 0.000, 0.000), P at (0.000, 0.000, 0.500), W at (0.500, 0.500, 0.000) and Se at (0.000, 0.500, 0.500).

---

9.
SiNiP2: relaxed, PBE-GGA.

The formation energy from raw total energies comes out at -54 meV per atom. Its total magnetic moment is 0.00 μB/atom.

It has space group C2/m (No. 12), with a = 5.880 Å, b = 3.381 Å, c = 5.893 Å, α = 90.00°, β = 109.38° and γ = 90.00°. The inequivalent atoms are Si at (0.000, 0.000, 0.000), Ni at (0.000, 0.500, 0.500) and P at (0.245, 0.000, 0.736).

---

10.
SiNiP2: relaxed, PBE-GGA.

The formation energy from raw total energies comes out at -140 meV per atom. Its total magnetic moment is 0.00 μB/atom.

It has space group P1 (No. 1), with a = 3.714 Å, b = 3.884 Å, c = 4.659 Å, α = 99.46°, β = 98.60° and γ = 101.58°. The inequivalent atoms are Si at (0.000, 0.000, 0.000), Ni at (0.393, 0.406, 0.445), P at (0.420, 0.963, 0.684) and P at (0.881, 0.533, 0.244).

---

11.
SiNiP2: relaxed, PBE-GGA.

The formation energy from raw total energies comes out at 306 meV per atom. Its total magnetic moment is 0.00 μB/atom.

It has space group Cmmm (No. 65), with a = 5.094 Å, b = 6.530 Å, c = 3.159 Å, α = 90.00°, β = 90.00° and γ = 90.00°. The inequivalent atoms are Si at (0.000, 0.000, 0.000), Ni at (0.000, 0.500, 0.000) and P at (0.250, 0.250, 0.500).

---

12.
SiNi2P: relaxed, PBE-GGA.

For the relative energy among the computed polymorphs, the calculation gives 0.2956 eV/atom. The formation energy from raw total energies comes out at -156 meV per atom. Its total magnetic moment is 0.00 μB/atom.

It has space group P2/m (No. 10), with a = 2.739 Å, b = 3.200 Å, c = 5.309 Å, α = 90.00°, β = 90.19° and γ = 90.00°. The inequivalent atoms are Si at (0.000, 0.000, 0.000), Ni at (0.499, 0.500, 0.239) and P at (0.000, 0.000, 0.500).

---

13.
SiNi3P: relaxed, PBE-GGA.

For the relative energy among the computed polymorphs, the calculation gives 0.6151 eV/atom. The formation energy from raw total energies comes out at 192 meV per atom. Its total magnetic moment is 0.00 μB/atom.

It has space group Pm-3m (No. 221), with a = 4.167 Å, b = 4.167 Å, c = 4.167 Å, α = 90.00°, β = 90.00° and γ = 90.00°. The inequivalent atoms are Si at (0.000, 0.000, 0.000), Ni at (0.000, 0.500, 0.500) and P at (0.500, 0.500, 0.500).

---

14.
Si2Ni6P: relaxed, PBE-GGA.

The formation energy from raw total energies comes out at -397 meV per atom. Its total magnetic moment is 0.00 μB/atom.

It has space group P4_2/mnm (No. 136), with a = 7.286 Å, b = 7.286 Å, c = 3.738 Å, α = 90.00°, β = 90.00° and γ = 90.00°. The inequivalent atoms are Si at (0.215, 0.215, 0.000), Ni at (0.037, 0.315, 0.500), Ni at (0.120, 0.880, 0.000) and P at (0.000, 0.000, 0.500).

---

15.
SiNiP2: relaxed, PBE-GGA.

The formation energy from raw total energies comes out at 6 meV per atom. Its total magnetic moment is 0.00 μB/atom.

It has space group P4mm (No. 99), with a = 3.313 Å, b = 3.313 Å, c = 5.291 Å, α = 90.00°, β = 90.00° and γ = 90.00°. The inequivalent atoms are Si at (0.000, 0.000, 0.000), Ni at (0.000, 0.000, 0.561), P at (0.500, 0.500, 0.105) and P at (0.500, 0.500, 0.516).

---

16.
SiNiP3: relaxed, PBE-GGA.

For the relative energy among the computed polymorphs, the calculation gives 0.0000 eV/atom. The formation energy from raw total energies comes out at -61 meV per atom. Its total magnetic moment is 0.00 μB/atom.

It has space group P1 (No. 1), with a = 4.105 Å, b = 6.444 Å, c = 6.711 Å, α = 67.62°, β = 87.06° and γ = 87.59°. The inequivalent atoms are Si at (0.000, 0.000, 0.000), Si at (0.255, 0.475, 0.357), Ni at (0.658, 0.315, 0.918), Ni at (0.701, 0.704, 0.271), P at (0.150, 0.106, 0.453), P at (0.261, 0.594, 0.817), P at (0.406, 0.947, 0.757), P at (0.425, 0.031, 0.196), P at (0.893, 0.518, 0.080) and P at (0.902, 0.538, 0.606).

---

17.
SiNiP3: relaxed, PBE-GGA.

For the relative energy among the computed polymorphs, the calculation gives 0.8548 eV/atom. The formation energy from raw total energies comes out at 794 meV per atom. Its total magnetic moment is 0.00 μB/atom.

It has space group Pm-3m (No. 221), with a = 4.388 Å, b = 4.388 Å, c = 4.388 Å, α = 90.00°, β = 90.00° and γ = 90.00°. The inequivalent atoms are Si at (0.000, 0.000, 0.000), Ni at (0.500, 0.500, 0.500) and P at (0.000, 0.500, 0.500).

---

18.
SiNiP2: relaxed, PBE-GGA.

The formation energy from raw total energies comes out at -106 meV per atom. Its total magnetic moment is 0.00 μB/atom.

It has space group Amm2 (No. 38), with a = 4.090 Å, b = 4.525 Å, c = 6.239 Å, α = 90.00°, β = 90.00° and γ = 90.00°. The inequivalent atoms are Si at (0.000, 0.000, 0.000), Ni at (0.500, 0.000, 0.793), P at (0.000, 0.000, 0.617) and P at (0.500, 0.000, 0.192).

---

19.
SiNi2P: relaxed, PBE-GGA.

For the relative energy among the computed polymorphs, the calculation gives 0.2959 eV/atom. The formation energy from raw total energies comes out at -156 meV per atom. Its total magnetic moment is 0.00 μB/atom.

It has space group I-4m2 (No. 119), with a = 3.487 Å, b = 3.487 Å, c = 7.606 Å, α = 90.00°, β = 90.00° and γ = 90.00°. The inequivalent atoms are Si at (0.000, 0.000, 0.000), Ni at (0.000, 0.000, 0.500), Ni at (0.000, 0.500, 0.750) and P at (0.000, 0.500, 0.250).

---

20.
SiNi2P: relaxed, PBE-GGA.

For the relative energy among the computed polymorphs, the calculation gives 0.3945 eV/atom. The formation energy from raw total energies comes out at -57 meV per atom. Its total magnetic moment is 0.00 μB/atom.

It has space group P4mm (No. 99), with a = 2.728 Å, b = 2.728 Å, c = 6.895 Å, α = 90.00°, β = 90.00° and γ = 90.00°. The inequivalent atoms are Si at (0.000, 0.000, 0.000), Ni at (0.000, 0.000, 0.450), Ni at (0.500, 0.500, 0.197) and P at (0.500, 0.500, 0.631).

---

21.
SiNi2P: relaxed, PBE-GGA.

For the relative energy among the computed polymorphs, the calculation gives 0.1479 eV/atom. The formation energy from raw total energies comes out at -304 meV per atom. Its total magnetic moment is 0.00 μB/atom.

It has space group Pm (No. 6), with a = 2.998 Å, b = 4.351 Å, c = 4.213 Å, α = 90.00°, β = 109.27° and γ = 90.00°. The inequivalent atoms are Si at (0.000, 0.000, 0.000), Ni at (0.110, 0.500, 0.219), Ni at (0.305, 0.000, 0.572) and P at (0.410, 0.500, 0.791).

---

22.
SiNi2P: relaxed, PBE-GGA.

For the relative energy among the computed polymorphs, the calculation gives 0.0184 eV/atom. The formation energy from raw total energies comes out at -434 meV per atom. Its total magnetic moment is 0.00 μB/atom.

It has space group P2_1/c (No. 14), with a = 6.762 Å, b = 5.721 Å, c = 5.075 Å, α = 90.00°, β = 90.12° and γ = 90.00°. The inequivalent atoms are Si at (0.122, 0.089, 0.313), Ni at (0.134, 0.699, 0.493), Ni at (0.384, 0.198, 0.005) and P at (0.370, 0.572, 0.185).

---

23.
SiNiP2: relaxed, PBE-GGA.

The formation energy from raw total energies comes out at 415 meV per atom. Its total magnetic moment is 0.00 μB/atom.

It has space group F-43m (No. 216), with a = 5.934 Å, b = 5.934 Å, c = 5.934 Å, α = 90.00°, β = 90.00° and γ = 90.00°. The inequivalent atoms are Si at (0.000, 0.000, 0.000), Ni at (0.250, 0.250, 0.750), P at (0.000, 0.000, 0.500) and P at (0.250, 0.250, 0.250).

---

24.
SiNiP2: relaxed, PBE-GGA.

The formation energy from raw total energies comes out at 130 meV per atom. Its total magnetic moment is 0.00 μB/atom.

It has space group Imm2 (No. 44), with a = 3.206 Å, b = 3.228 Å, c = 10.691 Å, α = 90.00°, β = 90.00° and γ = 90.00°. The inequivalent atoms are Si at (0.000, 0.000, 0.000), Ni at (0.000, 0.500, 0.751), P at (0.000, 0.000, 0.588) and P at (0.000, 0.500, 0.325).

---

25.
Si2Ni4P: relaxed, PBE-GGA.

The formation energy from raw total energies comes out at 160 meV per atom. Its total magnetic moment is 0.00 μB/atom.

It has space group I4/mmm (No. 139), with a = 4.165 Å, b = 4.165 Å, c = 11.539 Å, α = 90.00°, β = 90.00° and γ = 90.00°. The inequivalent atoms are Si at (0.000, 0.000, 0.124), Ni at (0.000, 0.000, 0.316), Ni at (0.000, 0.500, 0.000) and P at (0.000, 0.000, 0.500).

---

26.
SiNiP2: relaxed, PBE-GGA.

The formation energy from raw total energies comes out at -23 meV per atom. Its total magnetic moment is 0.00 μB/atom.

It has space group Amm2 (No. 38), with a = 3.199 Å, b = 4.824 Å, c = 7.080 Å, α = 90.00°, β = 90.00° and γ = 90.00°. The inequivalent atoms are Si at (0.000, 0.000, 0.000), Ni at (0.500, 0.000, 0.749), P at (0.000, 0.000, 0.509) and P at (0.500, 0.000, 0.261).